PBE LaLuCoCu, optimized geometry; formation enthalpy at 0 K = -0.12 eV/atom; space group = F-43m, No. 216; calculated total energy = -5.287 eV/atom
1.0
-0.892 -4.492 -1.702
0.337 -3.854 2.984
-4.037 -2.380 1.383
Cu Co La Lu
1 1 1 1
direct
0.250 0.250 0.250
0.750 0.750 0.750
0.500 0.500 0.500
0.000 0.000 0.000

PBE LaDyGe, optimized geometry; ΔE to the lowest computed polymorph = 0.0873 eV per atom; formation enthalpy at 0 K = -0.46 eV/atom; space group = P3m1, No. 156; calculated total energy = -5.173 eV/atom
1.0
-1.912 -0.971 3.805
2.059 -4.339 -0.072
2.258 3.696 2.078
Dy Ge La
1 1 1
direct
0.215 0.667 0.333
0.095 0.000 0.000
0.690 0.333 0.667

PBE TlCr3Tc, optimized geometry; ΔE to the lowest computed polymorph = 0.9418 eV per atom; formation enthalpy at 0 K = 2.14 eV/atom; space group = Pm-3m, No. 221; calculated total energy = -6.181 eV/atom
1.0
-4.959 0.521 0.756
0.118 -3.756 3.363
0.911 3.324 3.681
Cr Tc Tl
3 1 1
direct
0.000 0.000 0.500
0.500 0.000 0.000
0.000 0.500 0.000
0.500 0.500 0.500
0.000 0.000 0.000